#A
## ErTm6Zr2 (PBE)

Data for an optimized crystal structure of ErTm6Zr2.

Cell lengths 3.5354, 6.5493, 12.0637 Å; angles 73.72, 81.57, 74.34 degrees
With the nearest neighbours (Å) after each atom.
Fractional coordinates of all 9 atoms:
Tm  0.9761  0.3431  0.7047  2 Zr 3.18, 8 Tm 3.27-3.54
Tm  0.3507  0.7682  0.5305  3 Zr 3.32-3.35, 9 Tm 3.34-3.64
Tm  0.0239  0.6569  0.2953  2 Zr 3.18, 8 Tm 3.27-3.54
Tm  0.7121  0.4627  0.1131  2 Zr 3.13, 4 Tm 3.16-3.27
Tm  0.6493  0.2318  0.4695  3 Zr 3.32-3.35, 9 Tm 3.34-3.64
Tm  0.2879  0.5373  0.8869  2 Zr 3.13, 4 Tm 3.16-3.27
Zr  0.6747  0.9129  0.7377  7 Tm 3.13-3.35
Zr  0.3253  0.0871  0.2623  7 Tm 3.13-3.35
Er  0.0000  0.0000  0.0000  8 Tm 3.51-3.76, 2 Er 3.54, 4 Zr 3.75

The crystal system is monoclinic.



#B
## ErTm6Zr2 (PBE)

Data for an optimized crystal structure of ErTm6Zr2.

Cell lengths 3.4638, 3.4638, 25.0183 Å; angles 90.00, 90.00, 120.00 degrees
With the nearest neighbours (Å) after each atom.
Fractional coordinates of all 9 atoms:
Zr  0.3333  0.6667  0.3311  6 Tm 3.24-3.29, 6 Zr 3.46
Zr  0.3333  0.6667  0.6689  6 Tm 3.24-3.29, 6 Zr 3.46
Tm  0.0000  0.0000  0.4328  3 Zr 3.24, 7 Tm 3.36-3.46
Tm  0.0000  0.0000  0.7734  3 Zr 3.29, 9 Tm 3.46-3.48
Tm  0.3333  0.6667  0.8873  3 Er 3.46, 9 Tm 3.46-3.48
Tm  0.3333  0.6667  0.1127  3 Er 3.46, 9 Tm 3.46-3.48
Tm  0.0000  0.0000  0.5672  3 Zr 3.24, 7 Tm 3.36-3.46
Tm  0.0000  0.0000  0.2266  3 Zr 3.29, 9 Tm 3.46-3.48
Er  0.0000  0.0000  0.0000  6 Tm 3.46, 6 Er 3.46

The crystal system is hexagonal.



Bottom line: #B, by a margin of 40 meV/atom.



#A
## Er3Tm2Zr (PBE)

Data for an optimized crystal structure of Er3Tm2Zr.

Cell lengths 3.4263, 9.7667, 10.3349 Å; angles 90.02, 90.00, 90.00 degrees
With the nearest neighbours (Å) after each atom.
Fractional coordinates of all 12 atoms:
Tm  0.2500  0.8838  0.0859  4 Tm 3.35-3.43, 3 Zr 3.35-3.47, 5 Er 3.39-3.52
Tm  0.2500  0.3629  0.4113  6 Er 3.34-3.50, 2 Zr 3.35, 4 Tm 3.43-3.67
Tm  0.7500  0.1162  0.9141  4 Tm 3.35-3.43, 3 Zr 3.35-3.47, 5 Er 3.39-3.52
Tm  0.7500  0.6371  0.5887  6 Er 3.34-3.50, 2 Zr 3.35, 4 Tm 3.43-3.67
Er  0.7500  0.1169  0.5862  3 Zr 3.36-3.48, 6 Er 3.37-3.51, 3 Tm 3.39-3.46
Er  0.7500  0.6372  0.9114  3 Tm 3.34-3.46, 2 Zr 3.35, 7 Er 3.43-3.67
Er  0.2500  0.3792  0.7498  7 Er 3.43-3.51, 5 Tm 3.47-3.52
Er  0.2500  0.8831  0.4138  3 Zr 3.36-3.48, 6 Er 3.37-3.51, 3 Tm 3.39-3.46
Er  0.2500  0.3628  0.0886  3 Tm 3.34-3.46, 2 Zr 3.35, 7 Er 3.43-3.67
Er  0.7500  0.6208  0.2502  7 Er 3.43-3.51, 5 Tm 3.47-3.52
Zr  0.7500  0.1230  0.2496  5 Er 3.35-3.48, 5 Tm 3.35-3.47, 2 Zr 3.43
Zr  0.2500  0.8770  0.7504  5 Er 3.35-3.48, 5 Tm 3.35-3.47, 2 Zr 3.43

The crystal system is monoclinic.



#B
## Er3Tm2Zr (PBE)

Data for an optimized crystal structure of Er3Tm2Zr.

Cell lengths 3.3483, 8.6772, 12.7068 Å; angles 77.83, 82.43, 78.88 degrees
With the nearest neighbours (Å) after each atom.
Fractional coordinates of all 12 atoms:
Tm  0.1786  0.5195  0.1232  5 Er 3.18-3.41, 2 Zr 3.33, 2 Tm 3.35
Tm  0.6491  0.1703  0.5315  2 Zr 3.29-3.34, 4 Tm 3.35-3.57, 5 Er 3.36-3.52
Tm  0.8214  0.4805  0.8768  5 Er 3.18-3.41, 2 Zr 3.33, 2 Tm 3.35
Tm  0.3509  0.8297  0.4685  2 Zr 3.29-3.34, 4 Tm 3.35-3.57, 5 Er 3.36-3.52
Er  0.4005  0.1705  0.0284  4 Er 3.12-3.44, 3 Tm 3.39-3.41
Er  0.9655  0.8487  0.2203  3 Tm 3.26-3.52, 4 Er 3.35-3.58, 2 Zr 3.44
Er  0.5995  0.8295  0.9716  4 Er 3.12-3.44, 3 Tm 3.39-3.41
Er  0.0345  0.1513  0.7797  3 Tm 3.26-3.52, 4 Er 3.35-3.58, 2 Zr 3.44
Er  0.2530  0.1961  0.2978  4 Tm 3.18-3.44, 3 Er 3.35-3.44, 2 Zr 3.37
Er  0.7470  0.8039  0.7022  4 Tm 3.18-3.44, 3 Er 3.35-3.44, 2 Zr 3.37
Zr  0.4338  0.4850  0.6474  4 Tm 3.29-3.34, 3 Zr 3.35-3.67, 4 Er 3.37-3.44
Zr  0.5662  0.5150  0.3526  4 Tm 3.29-3.34, 3 Zr 3.35-3.67, 4 Er 3.37-3.44

The crystal system is monoclinic.



Bottom line: #A, by a margin of 114 meV/atom.



#A
## ErV2W (PBE)

Data for an optimized crystal structure of ErV2W.

Cell lengths 3.1989, 3.1989, 6.9459 Å; angles 90.00, 90.00, 90.00 degrees
With the nearest neighbours (Å) after each atom.
Fractional coordinates of all 4 atoms:
Er  0.5000  0.5000  0.5000  8 V 3.09, 4 Er 3.20
W  0.5000  0.5000  0.0000  8 V 2.64
V  0.0000  0.0000  0.8032  4 W 2.64, 1 V 2.73
V  0.0000  0.0000  0.1968  4 W 2.64, 1 V 2.73

The crystal system is tetragonal.



#B
## ErV2W (PBE)

Data for an optimized crystal structure of ErV2W.

Cell lengths 3.0739, 3.0739, 8.9730 Å; angles 80.14, 80.14, 60.00 degrees
With the nearest neighbours (Å) after each atom.
Fractional coordinates of all 4 atoms:
V  0.7373  0.7373  0.7880  3 W 2.57
V  0.2627  0.2627  0.2120  3 W 2.57
Er  0.5000  0.5000  0.5000  6 Er 3.07, 6 V 3.09
W  0.0000  0.0000  0.0000  6 V 2.57

The crystal system is trigonal.



Bottom line: #A, by a margin of 247 meV/atom.



#A
## Er2VZn (PBE)

Data for an optimized crystal structure of Er2VZn.

Cell lengths 3.2573, 3.2573, 10.6160 Å; angles 81.18, 81.18, 60.00 degrees
With the nearest neighbours (Å) after each atom.
Fractional coordinates of all 4 atoms:
Er  0.9089  0.9089  0.2734  1 V 2.86, 3 Zn 3.02
Er  0.0911  0.0911  0.7266  1 V 2.86, 3 Zn 3.02
Zn  0.5000  0.5000  0.5000  6 Er 3.02, 6 Zn 3.26
V  0.0000  0.0000  0.0000  2 Er 2.86

The crystal system is trigonal.



#B
## Er2VZn (PBE)

Data for an optimized crystal structure of Er2VZn.

Cell lengths 3.5673, 3.5673, 7.0093 Å; angles 90.00, 90.00, 90.00 degrees
With the nearest neighbours (Å) after each atom.
Fractional coordinates of all 4 atoms:
V  0.5000  0.5000  0.0000  8 Er 3.05
Er  0.0000  0.0000  0.2458  4 V 3.05, 4 Zn 3.09
Er  0.0000  0.0000  0.7542  4 V 3.05, 4 Zn 3.09
Zn  0.5000  0.5000  0.5000  8 Er 3.09

The crystal system is tetragonal.



Bottom line: #B, by a margin of 534 meV/atom.



#A
## Y5Er (PBE)

Data for an optimized crystal structure of Y5Er.

Cell lengths 3.7630, 5.7736, 9.3943 Å; angles 107.90, 90.00, 90.00 degrees
With the nearest neighbours (Å) after each atom.
Fractional coordinates of all 6 atoms:
Y  0.5000  0.0000  0.0000  4 Er 3.45, 6 Y 3.72-3.76
Y  0.5000  0.3478  0.6957  2 Er 3.31, 6 Y 3.48-3.55
Y  0.0000  0.1798  0.3596  12 Y 3.48-3.83
Y  0.0000  0.8202  0.6404  12 Y 3.48-3.83
Y  0.5000  0.6522  0.3043  2 Er 3.31, 6 Y 3.48-3.55
Er  0.0000  0.5000  0.0000  8 Y 3.31-3.45

The crystal system is orthorhombic.



#B
## Y5Er (PBE)

Data for an optimized crystal structure of Y5Er.

Cell lengths 5.0297, 5.0330, 7.9728 Å; angles 108.40, 90.00, 90.00 degrees
With the nearest neighbours (Å) after each atom.
Fractional coordinates of all 6 atoms:
Y  0.5000  0.5000  0.0000  8 Y 3.55-3.56, 4 Er 3.56
Y  0.5000  0.8339  0.6678  2 Er 3.56, 10 Y 3.56-3.57
Y  0.0000  0.3340  0.6680  10 Y 3.55-3.58, 2 Er 3.56
Y  0.0000  0.6660  0.3320  10 Y 3.55-3.58, 2 Er 3.56
Y  0.5000  0.1661  0.3322  2 Er 3.56, 10 Y 3.56-3.57
Er  0.0000  0.0000  0.0000  12 Y 3.56

The crystal system is orthorhombic.



Bottom line: #B, by a margin of 84 meV/atom.



#A
## Y3Er (PBE)

Data for an optimized crystal structure of Y3Er.

Cell lengths 3.6353, 6.2885, 6.7089 Å; angles 117.95, 105.72, 90.00 degrees
With the nearest neighbours (Å) after each atom.
Fractional coordinates of all 4 atoms:
Y  0.7486  0.0817  0.4972  9 Y 3.50-3.64, 3 Er 3.51-3.52
Y  0.5000  0.4993  0.0000  8 Y 3.50-3.64, 4 Er 3.62-3.64
Y  0.2514  0.5845  0.5028  9 Y 3.50-3.64, 3 Er 3.51-3.52
Er  0.0000  0.0012  0.0000  10 Y 3.51-3.64, 2 Er 3.64

The crystal system is orthorhombic.



#B
## Y3Er (PBE)

Data for an optimized crystal structure of Y3Er.

Cell lengths 5.0252, 5.0252, 6.1606 Å; angles 114.07, 114.07, 90.00 degrees
With the nearest neighbours (Å) after each atom.
Fractional coordinates of all 4 atoms:
Y  0.2500  0.7500  0.5000  8 Y 3.55-3.56, 4 Er 3.56
Y  0.5000  0.5000  0.0000  4 Er 3.55, 8 Y 3.56
Y  0.7500  0.2500  0.5000  8 Y 3.55-3.56, 4 Er 3.56
Er  0.0000  0.0000  0.0000  12 Y 3.55-3.56

The crystal system is tetragonal.



#C
## Y3Er (PBE)

Data for an optimized crystal structure of Y3Er.

Cell lengths 5.6816, 5.6816, 5.6816 Å; angles 60.00, 60.00, 60.00 degrees
With the nearest neighbours (Å) after each atom.
Fractional coordinates of all 4 atoms:
Er  0.5000  0.5000  0.5000  8 Y 3.48
Y  0.0000  0.0000  0.0000  8 Y 3.48
Y  0.2500  0.2500  0.2500  4 Er 3.48, 4 Y 3.48
Y  0.7500  0.7500  0.7500  4 Y 3.48, 4 Er 3.48

The crystal system is cubic.



Bottom line: #A, by a margin of 27 meV/atom.